VASP calculation (PBE) on YNOF2 after structural relaxation.

Cell lengths 3.8128, 3.8128, 3.8139 Å; angles 90.00, 90.00, 90.00 degrees
Fractional positions:
O: 0.0000 0.0000 0.0000
F: 0.0000 0.5000 0.0000
N: 0.0000 0.0000 0.5000
F: 0.5000 0.0000 0.0000
Y: 0.5000 0.5000 0.5000

Output
The space group is P4/mmm (123). For the density of states at the Fermi level, the calculation gives 0.038 states/eV/atom. The energy above the most stable polymorph in this dataset is 3.740 eV/f.u. The uncorrected formation energy is -680 meV/atom.

VASP calculation (PBE) on Sm2Se2O after structural relaxation.

Cell lengths 5.8708, 7.2661, 7.2661 Å; angles 56.30, 66.17, 66.17 degrees
Fractional positions:
Sm: 0.6016 0.1931 0.6036
Se: 0.6440 0.7093 0.0027
Sm: 0.8984 0.3964 0.8069
Sm: 0.1016 0.6036 0.1931
O: 0.7500 0.5000 0.5000
Se: 0.3560 0.2907 0.9973
Sm: 0.3984 0.8069 0.3964
Se: 0.1440 0.0027 0.7093
Se: 0.8560 0.9973 0.2907
O: 0.2500 0.5000 0.5000

Output
The space group is Ibam (72). For the density of states at the Fermi level, the calculation gives 0.003 states/eV/atom. The energy above the most stable polymorph in this dataset is 0.164 eV/f.u. The uncorrected formation energy is -2429 meV/atom.

VASP calculation (PBE) on TlCr2BiB after structural relaxation.

Cell lengths 5.1904, 5.8205, 5.1904 Å; angles 90.00, 90.00, 90.00 degrees
Last column: magnetic moment on the atom in μB.
Fractional positions:
Bi: 0.0000 0.5000 0.0000  -0.17
B: 0.5000 0.5000 0.5000  0.00
Cr: 0.0000 0.0000 0.5000  4.01
Tl: 0.0000 0.0000 0.0000  -0.01
Cr: 0.5000 0.0000 0.0000  3.87

Output
The space group is P4/mmm (123). For the density of states at the Fermi level, the calculation gives 0.616 states/eV/atom. The value obtained for the formation energy from the elements is 2.14 eV/atom.

VASP calculation (PBE) on CrHg3 after structural relaxation.

Cell lengths 4.3413, 4.3413, 5.4870 Å; angles 66.70, 66.70, 90.00 degrees
Last column: magnetic moment on the atom in μB.
Fractional positions:
Cr: 0.0000 0.0000 0.0000  3.84
Hg: 0.7500 0.2500 0.5000  -0.01
Hg: 0.2500 0.7500 0.5000  -0.01
Hg: 0.5000 0.5000 0.0000  -0.01

Output
The space group is I4/mmm (139). For the density of states at the Fermi level, the calculation gives 0.425 states/eV/atom. The value obtained for the formation energy from the elements is 0.34 eV/atom.

VASP calculation (PBE) on Tb2PmSm2Mg after structural relaxation.

Cell lengths 3.7046, 5.5202, 18.9150 Å; angles 90.00, 90.00, 90.00 degrees
Fractional positions:
Sm: 0.5000 0.9994 0.8140
Tb: 0.0000 0.5005 0.1327
Tb: 0.5000 0.9995 0.6327
Mg: 0.0000 0.0000 0.5000
Tb: 0.5000 0.0005 0.3673
Sm: 0.0000 0.4994 0.6860
Pm: 0.0000 0.0000 0.0000
Tb: 0.0000 0.4995 0.8673
Sm: 0.5000 0.0006 0.1860
Sm: 0.0000 0.5006 0.3140
Pm: 0.5000 0.5000 0.5000
Mg: 0.5000 0.5000 0.0000

Output
The space group is Immm (71). For the density of states at the Fermi level, the calculation gives 1.504 states/eV/atom. The value obtained for the formation energy from the elements is 0.09 eV/atom.

VASP calculation (PBE) on FePt2Rh after structural relaxation.

Cell lengths 9.0303, 9.0303, 9.0303 Å; angles 17.49, 17.49, 17.49 degrees
Last column: magnetic moment on the atom in μB.
Fractional positions:
Rh: 0.4946 0.4946 0.4946  0.36
Fe: 0.7516 0.7516 0.7516  2.84
Pt: 0.0056 0.0056 0.0056  0.17
Pt: 0.2482 0.2482 0.2482  -0.05

Output
The space group is R3m (160). For the density of states at the Fermi level, the calculation gives 1.484 states/eV/atom. The value obtained for the formation energy from the elements is -0.10 eV/atom.

VASP calculation (PBE) on BaOs4Ru after structural relaxation.

Cell lengths 5.3530, 5.3530, 5.3530 Å; angles 60.00, 60.00, 60.00 degrees
Fractional positions:
Ru: 0.7500 0.7500 0.7500
Ba: 0.0000 0.0000 0.0000
Os: 0.3763 0.8711 0.3763
Os: 0.3763 0.3763 0.8711
Os: 0.8711 0.3763 0.3763
Os: 0.3763 0.3763 0.3763

Output
The space group is F-43m (216). For the density of states at the Fermi level, the calculation gives 1.501 states/eV/atom. The value obtained for the formation energy from the elements is 1.09 eV/atom.

VASP calculation (PBE) on GeP2OsCl after structural relaxation.

Cell lengths 4.6874, 4.6874, 4.5418 Å; angles 90.00, 90.00, 90.00 degrees
Last column: magnetic moment on the atom in μB.
Fractional positions:
Ge: 0.0000 0.0000 0.0000  -0.02
Os: 0.5000 0.5000 0.5000  2.21
P: 0.0000 0.5000 0.0000  -0.07
P: 0.5000 0.0000 0.0000  -0.07
Cl: 0.0000 0.0000 0.5000  0.07

Output
The space group is P4/mmm (123). For the density of states at the Fermi level, the calculation gives 0.799 states/eV/atom. The energy above the most stable polymorph in this dataset is 4.635 eV/f.u. The uncorrected formation energy is 1525 meV/atom.

VASP calculation (PBE) on ScTa3Pd after structural relaxation.

Cell lengths 4.6977, 4.6977, 4.6977 Å; angles 90.00, 90.00, 90.00 degrees
Fractional positions:
Pd: 0.5000 0.5000 0.5000
Sc: 0.0000 0.0000 0.0000
Ta: 0.0000 0.5000 0.0000
Ta: 0.0000 0.0000 0.5000
Ta: 0.5000 0.0000 0.0000

Output
The space group is Pm-3m (221). For the density of states at the Fermi level, the calculation gives 1.640 states/eV/atom. The energy above the most stable polymorph in this dataset is 3.530 eV/f.u. The value obtained for the formation energy from the elements is 1.88 eV/atom.

VASP calculation (PBE) on Hg2PtPb8 after structural relaxation.

Cell lengths 4.6093, 9.4482, 8.8393 Å; angles 114.54, 105.11, 90.00 degrees
Fractional positions:
Pb: 0.9040 0.4983 0.8080
Pb: 0.1123 0.0775 0.2246
Pb: 0.8877 0.9225 0.7754
Pb: 0.6751 0.3505 0.3501
Pt: 0.5000 0.0000 0.0000
Pb: 0.0960 0.5017 0.1920
Hg: 0.7838 0.1323 0.5676
Pb: 0.5456 0.7426 0.0911
Hg: 0.2162 0.8677 0.4324
Pb: 0.3249 0.6495 0.6499
Pb: 0.4544 0.2574 0.9089

Output
The space group is C2/m (12). For the density of states at the Fermi level, the calculation gives 0.481 states/eV/atom. The value obtained for the formation energy from the elements is 0.01 eV/atom.

VASP calculation (PBE) on NaLi2Pt after structural relaxation.

Cell lengths 3.1035, 3.1035, 7.6103 Å; angles 90.00, 90.00, 90.00 degrees
Fractional positions:
Li: 0.0000 0.0000 0.6781
Pt: 0.5000 0.5000 0.5000
Na: 0.5000 0.5000 0.0000
Li: 0.0000 0.0000 0.3219

Output
The space group is P4/mmm (123). For the density of states at the Fermi level, the calculation gives 0.378 states/eV/atom. The energy above the most stable polymorph in this dataset is 0.015 eV/f.u. The value obtained for the formation energy from the elements is -0.28 eV/atom.

VASP calculation (PBE) on SrYBr after structural relaxation.

Cell lengths 8.4567, 8.0932, 3.7865 Å; angles 82.20, 71.47, 26.33 degrees
Fractional positions:
Sr: 0.3426 0.3426 0.6574
Y: 0.6520 0.6520 0.3480
Br: 0.0054 0.0054 0.9946

Output
The space group is Fmm2 (42). For the density of states at the Fermi level, the calculation gives 0.549 states/eV/atom. The energy above the most stable polymorph in this dataset is 0.229 eV/f.u. The uncorrected formation energy is -674 meV/atom.

VASP calculation (PBE) on KBa2PbS4 after structural relaxation.

Cell lengths 8.8431, 8.8431, 8.9133 Å; angles 120.26, 120.26, 89.13 degrees
Fractional positions:
Ba: 0.5000 0.0000 0.0000
K: 0.0000 0.5000 0.5000
Pb: 0.5000 0.5000 0.5000
S: 0.2500 0.2500 0.0124
S: 0.7588 0.2328 0.9958
S: 0.2412 0.7672 0.0042
S: 0.7500 0.7500 0.5124
Ba: 0.5000 0.5000 0.0000
S: 0.7328 0.2588 0.4958
S: 0.2500 0.2500 0.4876
Ba: 0.0000 0.0000 0.5000
Pb: 0.0000 0.0000 0.0000
S: 0.7500 0.7500 0.9876
K: 0.0000 0.5000 0.0000
S: 0.2672 0.7412 0.5042
Ba: 0.5000 0.0000 0.5000

Output
The space group is Imma (74). For the density of states at the Fermi level, the calculation gives 1.287 states/eV/atom. The uncorrected formation energy is -1274 meV/atom.

VASP calculation (PBE) on Cs3Y3PaSe8 after structural relaxation.

Cell lengths 8.4559, 8.4560, 9.8269 Å; angles 115.51, 90.00, 120.00 degrees
Last column: magnetic moment on the atom in μB.
Fractional positions:
Se: 0.7732 0.0434 0.3168  -0.01
Cs: 0.5000 0.5000 0.0000  0.00
Se: 0.2268 0.4536 0.6832  -0.01
Se: 0.7732 0.5464 0.3168  -0.01
Se: 0.2719 0.5438 0.3159  0.00
Se: 0.2702 0.0434 0.3168  -0.01
Se: 0.2268 0.9566 0.6832  -0.01
Cs: 0.0000 0.5000 0.0000  0.00
Pa: 0.0000 0.0000 0.5000  1.00
Se: 0.7298 0.9566 0.6832  -0.01
Cs: 0.0000 0.0000 0.0000  0.00
Y: 0.0000 0.5000 0.5000  0.01
Y: 0.5000 0.5000 0.5000  0.01
Y: 0.5000 0.0000 0.5000  0.01
Se: 0.7281 0.4562 0.6841  0.00

Output
The space group is R-3m (166). For the density of states at the Fermi level, the calculation gives 0.225 states/eV/atom. The uncorrected formation energy is -1686 meV/atom.

VASP calculation (PBE) on ZrSc2Ni2 after structural relaxation.

Cell lengths 7.7613, 7.7613, 2.8734 Å; angles 90.00, 90.00, 90.00 degrees
Last column: magnetic moment on the atom in μB.
Fractional positions:
Sc: 0.8606 0.6394 0.0000  0.03
Ni: 0.3399 0.1601 0.5000  0.02
Ni: 0.8399 0.3399 0.5000  0.02
Zr: 0.0000 0.0000 0.0000  0.08
Ni: 0.1601 0.6601 0.5000  0.02
Sc: 0.3606 0.8606 0.0000  0.03
Sc: 0.1394 0.3606 0.0000  0.03
Zr: 0.5000 0.5000 0.0000  0.08
Ni: 0.6601 0.8399 0.5000  0.02
Sc: 0.6394 0.1394 0.0000  0.03

Output
The space group is P4/mbm (127). For the density of states at the Fermi level, the calculation gives 1.331 states/eV/atom. The energy above the most stable polymorph in this dataset is 0.785 eV/f.u. The value obtained for the formation energy from the elements is -0.18 eV/atom.

VASP calculation (PBE) on KCd2C after structural relaxation.

Cell lengths 7.0672, 7.0672, 7.0830 Å; angles 60.07, 60.07, 90.00 degrees
Last column: magnetic moment on the atom in μB.
Fractional positions:
Cd: 0.3753 0.6250 0.2500  0.03
Cd: 0.3750 0.6253 0.7500  0.03
C: 0.5000 0.5000 0.0000  0.05
C: 0.2500 0.7500 0.5000  0.05
K: 0.0000 0.0000 0.0000  0.03
Cd: 0.8750 0.6247 0.7500  0.04
Cd: 0.3747 0.1250 0.2500  0.03
K: 0.7500 0.2500 0.5000  0.03

Output
The space group is I4_1/amd (141). For the density of states at the Fermi level, the calculation gives 0.478 states/eV/atom. The value obtained for the formation energy from the elements is 0.71 eV/atom.

VASP calculation (PBE) on SrZrAl2 after structural relaxation.

Cell lengths 5.0965, 5.0965, 5.0965 Å; angles 60.00, 60.00, 60.00 degrees
Last column: magnetic moment on the atom in μB.
Fractional positions:
Al: 0.2500 0.2500 0.2500  0.00
Zr: 0.7500 0.7500 0.7500  0.64
Sr: 0.5000 0.5000 0.5000  0.07
Al: 0.0000 0.0000 0.0000  0.01

Output
The space group is F-43m (216). For the density of states at the Fermi level, the calculation gives 1.392 states/eV/atom. The energy above the most stable polymorph in this dataset is 2.562 eV/f.u. The value obtained for the formation energy from the elements is 0.42 eV/atom.

VASP calculation (PBE) on KLiSb2S4 after structural relaxation.

Cell lengths 4.0232, 7.0734, 14.1003 Å; angles 90.00, 90.00, 106.52 degrees
Fractional positions:
Li: 0.8364 0.6728 0.7500
Li: 0.1636 0.3272 0.2500
S: 0.0000 0.0000 0.0000
K: 0.1053 0.2107 0.7500
S: 0.2621 0.5242 0.3923
S: 0.4257 0.8515 0.7500
S: 0.2621 0.5242 0.1077
S: 0.7379 0.4758 0.8923
S: 0.5743 0.1485 0.2500
Sb: 0.3669 0.7339 0.9379
Sb: 0.6331 0.2661 0.0621
K: 0.8947 0.7893 0.2500
Sb: 0.3669 0.7339 0.5621
Sb: 0.6331 0.2661 0.4379
S: 0.7379 0.4758 0.6077
S: 0.0000 0.0000 0.5000

Output
The space group is Cmcm (63). The uncorrected formation energy is -668 meV/atom.

VASP calculation (PBE) on YAg3F after structural relaxation.

Cell lengths 4.7307, 4.7307, 4.7307 Å; angles 90.00, 90.00, 90.00 degrees
Last column: magnetic moment on the atom in μB.
Fractional positions:
Ag: 0.5000 0.0000 0.0000  0.10
F: 0.0000 0.0000 0.0000  0.10
Y: 0.5000 0.5000 0.5000  0.25
Ag: 0.0000 0.0000 0.5000  0.05
Ag: 0.0000 0.5000 0.0000  0.09

Output
The space group is Pm-3m (221). For the density of states at the Fermi level, the calculation gives 0.866 states/eV/atom. The energy above the most stable polymorph in this dataset is 0.000 eV/f.u. The uncorrected formation energy is -117 meV/atom.

VASP calculation (PBE) on AsPd3Se after structural relaxation.

Cell lengths 3.7876, 6.3938, 9.0125 Å; angles 112.69, 90.00, 90.00 degrees
Fractional positions:
Pd: 0.2500 0.5675 0.6281
Pd: 0.2500 0.0250 0.8898
Pd: 0.7500 0.4325 0.3719
As: 0.7500 0.7283 0.8193
Pd: 0.7500 0.9177 0.6169
Se: 0.7500 0.7885 0.3130
Pd: 0.7500 0.9750 0.1102
As: 0.2500 0.2717 0.1807
Pd: 0.2500 0.0823 0.3831
Se: 0.2500 0.2115 0.6870

Output
The space group is P2_1/m (11). For the density of states at the Fermi level, the calculation gives 0.626 states/eV/atom. The energy above the most stable polymorph in this dataset is 0.127 eV/f.u. The uncorrected formation energy is -231 meV/atom.

Number 1: total magnetization 0.00 μB/atom. Number 2: total magnetization 0.00 μB/atom. Number 3: total magnetization 1.75 μB/atom. Number 4: total magnetization 1.07 μB/atom. Number 5: total magnetization 0.00 μB/atom. Number 6: total magnetization 0.84 μB/atom. Number 7: total magnetization 0.00 μB/atom. Number 8: total magnetization 0.45 μB/atom. Number 9: total magnetization 0.00 μB/atom. Number 10: total magnetization 0.00 μB/atom. Number 11: total magnetization 0.00 μB/atom. Number 12: total magnetization 0.00 μB/atom. Number 13: total magnetization 0.00 μB/atom. Number 14: total magnetization 0.07 μB/atom. Number 15: total magnetization 0.04 μB/atom. Number 16: total magnetization 0.17 μB/atom. Number 17: total magnetization 0.31 μB/atom. Number 18: total magnetization 0.00 μB/atom. Number 19: total magnetization 0.22 μB/atom. Number 20: total magnetization 0.00 μB/atom.